Below is a PBEsol-optimized structure of Ti13Pb3, with properties calculated at the meta-GGA SCAN level.

Lattice parameters (Å, degrees): 4.724 5.925 10.039 90.00 90.00 90.00
Space group Pmm2 (No. 25)
One atom of each set of equivalent atoms:
Ti 0.000 0.000 0.000 x1
Ti 0.000 0.000 0.515 x1
Ti 0.000 0.238 0.753 x2
Ti 0.000 0.249 0.270 x2
Ti 0.000 0.500 0.504 x1
Ti 0.500 0.000 0.683 x1
Ti 0.500 0.243 0.434 x2
Ti 0.500 0.243 0.931 x2
Ti 0.500 0.500 0.195 x1
Pb 0.000 0.500 0.012 x1
Pb 0.500 0.000 0.179 x1
Pb 0.500 0.500 0.683 x1

Results
* raw total energy: -27.355 eV per atom